No. 1
# Na3Y2MnS6 | Alexandria via LeMat-Bulk | PBE | optimized geometry
data_Na3Y2MnS6
_symmetry_space_group_name_H-M 'C 1 2/m 1'
_symmetry_Int_Tables_number 12
_cell_length_a 6.6672
_cell_length_b 11.6847
_cell_length_c 7.0217
_cell_angle_alpha 90.00
_cell_angle_beta 108.18
_cell_angle_gamma 90.00
loop_
_symmetry_equiv_pos_as_xyz
'x,y,z'
'-x,-y,-z'
'-x,y,-z'
'x,-y,z'
'x+1/2,y+1/2,z'
'-x+1/2,-y+1/2,-z'
'-x+1/2,y+1/2,-z'
'x+1/2,-y+1/2,z'
loop_
_atom_site_label
_atom_site_fract_x
_atom_site_fract_y
_atom_site_fract_z
Na1 0.0000 0.0000 0.0000
Na2 0.0000 0.3321 0.0000
Y1 0.0000 0.1688 0.5000
Mn1 0.0000 0.5000 0.5000
S1 0.2291 0.5000 0.2920
S2 0.2352 0.3420 0.7255
# Density   3.158 g/cm³
# Formation energy (no corrections)   -1459 meV per atom
# Size of the total moment   8.0 μB per cell

No. 2
# Na2YMnS4 | Alexandria via LeMat-Bulk | PBE | optimized geometry
data_Na2YMnS4
_symmetry_space_group_name_H-M 'P 1 2/m 1'
_symmetry_Int_Tables_number 10
_cell_length_a 6.5200
_cell_length_b 3.8532
_cell_length_c 7.0111
_cell_angle_alpha 90.00
_cell_angle_beta 108.14
_cell_angle_gamma 90.00
loop_
_symmetry_equiv_pos_as_xyz
'x,y,z'
'-x,-y,-z'
'-x,y,-z'
'x,-y,z'
loop_
_atom_site_label
_atom_site_fract_x
_atom_site_fract_y
_atom_site_fract_z
Na1 0.0000 0.0000 0.0000
Na2 0.5000 0.5000 0.0000
Y1 0.0000 0.5000 0.5000
Mn1 0.5000 0.0000 0.5000
S1 0.2680 0.0000 0.7165
S2 0.2786 0.5000 0.2853
# Density   3.156 g/cm³
# Formation energy (no corrections)   -1276 meV per atom
# Size of the total moment   4.0 μB per cell